A relaxed DyYO2 crystal, computed with GGA-PBE.

Cell: 3.3941 3.3941 4.8004 Å, 90.00 90.00 90.00°
Space group P4/mmm (No. 123)
Symmetry-distinct sites (fractional):
1 Dy 0.0000 0.0000 0.0000 x1
2 Y 0.5000 0.5000 0.5000 x1
3 O 0.0000 0.0000 0.5000 x1
4 O 0.5000 0.5000 0.0000 x1

Summary:
The calculation puts the total energy at -32.08 eV for the cell shown.

=====

A relaxed Li2ZrZnGe2Ir2 crystal, computed with GGA-PBE.

Cell: 4.3528 4.3528 6.2712 Å, 90.00 90.00 90.00°
Space group P-4m2 (No. 115)
Symmetry-distinct sites (fractional):
1 Li 0.0000 0.5000 0.2099 x2
2 Zr 0.0000 0.0000 0.5000 x1
3 Zn 0.5000 0.5000 0.0000 x1
4 Ge 0.0000 0.0000 0.0000 x1
5 Ge 0.5000 0.5000 0.5000 x1
6 Ir 0.0000 0.5000 0.7500 x2

Summary:
The calculation puts the total energy at -44.79 eV for the cell shown.

=====

Repeat the first record exactly.
A relaxed DyYO2 crystal, computed with GGA-PBE.

Cell: 3.3941 3.3941 4.8004 Å, 90.00 90.00 90.00°
Space group P4/mmm (No. 123)
Symmetry-distinct sites (fractional):
1 Dy 0.0000 0.0000 0.0000 x1
2 Y 0.5000 0.5000 0.5000 x1
3 O 0.0000 0.0000 0.5000 x1
4 O 0.5000 0.5000 0.0000 x1

Summary:
The calculation puts the total energy at -32.08 eV for the cell shown.